Computed, not measured: a geometry-optimized PrScAsSe structure at the PBE level of DFT.

Structure (POSCAR):
```
PrScAsSe
1.0
2.0375 1.1764 6.7329
-2.0375 1.1764 6.7329
0.0000 -2.3527 6.7329
Pr Sc As Se
1 1 1 1
Direct
0.0000 0.0000 0.0000
0.5082 0.5082 0.5082
0.2444 0.2444 0.2444
0.7629 0.7629 0.7629
```

Values from the calculation:
Raw formation energy   -1.61 eV per atom
Total moment   0.000 μB/atom